Record 1
Zr2PAu | the Alexandria database | PBE | optimized geometry; formation energy = -3.015 eV per formula unit; total energy = -7.200 eV/atom
1.0
3.098 0.000 0.000
0.000 3.502 0.000
-1.061 0.000 7.029
Zr P Au
2 1 1
direct
0.099 0.000 0.273 Zr
0.901 0.000 0.727 Zr
0.500 0.500 0.500 P
0.500 0.500 0.000 Au

=====

Record 2
Zr2PAu | the Alexandria database | PBE | optimized geometry; formation energy = -2.953 eV per formula unit; total energy = -7.184 eV/atom
1.0
3.868 0.000 0.000
0.000 3.868 0.000
0.000 0.000 5.544
Zr P Au
2 1 1
direct
0.000 0.000 0.000 Zr
0.500 0.500 0.500 Zr
0.000 0.000 0.500 P
0.500 0.500 0.000 Au

=====

- What is the formation energy in the first record?
  -3.015 eV per formula unit

=====

- Among the records above, which one has the highest formation energy?
  number 2

=====

- Which value of total energy does entry 2 give?
  -7.184 eV/atom

=====

- Look up the total energy of the second one.
  -7.184 eV/atom